Material: KTl2HgSb2
Method: DFT, PBE
State: relaxed

Lattice parameters (Å, degrees): 9.2969 9.2969 9.2969 144.98 144.98 50.37
With the nearest neighbours (Å) after each atom.
Fractional coordinates of all 6 atoms:
K  0.0000  0.0000  0.0000  4 Hg 3.96
Tl  0.2500  0.7500  0.5000  4 Sb 3.19
Tl  0.7500  0.2500  0.5000  4 Sb 3.19
Hg  0.5000  0.5000  0.0000  2 Sb 2.67
Sb  0.3411  0.3411  0.0000  1 Hg 2.67
Sb  0.6589  0.6589  0.0000  1 Hg 2.67

space-group type: I4/mmm, No. 139
uncorrected formation energy: -0.041 eV/atom

---

Material: KTlHg2Sb
Method: DFT, PBE
State: relaxed

Lattice parameters (Å, degrees): 5.7082 5.7082 6.5501 90.00 90.00 90.00
With the nearest neighbours (Å) after each atom.
Fractional coordinates of all 5 atoms:
K  0.0000  0.0000  0.0000  2 Tl 3.28
Tl  0.0000  0.0000  0.5000  4 Hg 2.85
Hg  0.0000  0.5000  0.5000  2 Tl 2.85
Hg  0.5000  0.0000  0.5000  2 Tl 2.85
Sb  0.5000  0.5000  0.0000  4 K 4.04, 8 Hg 4.34

space-group type: P4/mmm, No. 123
uncorrected formation energy: 0.335 eV/atom